{
  "formula": "YZn2Ni2",
  "functional": "PBE-GGA",
  "state": "optimized geometry",
  "rho_g_cm3": 7.0,
  "e_tot_ev_per_cell": -22.0,
  "spacegroup": "I4/mmm",
  "magmom_total_mub_per_cell": 0.00,
  "de_polymorph_kcal_per_mol_atoms": 0.00,
  "lattice": [[-1.957, 1.957, 5.243], [1.957, -1.957, 5.243], [1.957, 1.957, -5.243]],
  "species": ["Ni", "Ni", "Y", "Zn", "Zn"],
  "fractional_positions": [[0.390, 0.390, 0.000], [0.610, 0.610, 0.000], [0.000, 0.000, 0.000], [0.750, 0.250, 0.500], [0.250, 0.750, 0.500]]
}

{
  "formula": "SmSiHO4",
  "functional": "PBE-GGA",
  "state": "optimized geometry",
  "rho_g_cm3": 5.0,
  "e_tot_ev_per_cell": -208.5,
  "spacegroup": "P2_1/c",
  "magmom_total_mub_per_cell": 0.00,
  "de_polymorph_kcal_per_mol_atoms": 0.23,
  "lattice": [[7.464, 0.000, 0.282], [0.000, 6.680, 0.000], [-2.488, 0.000, 6.449]],
  "species": ["H", "H", "H", "H", "O", "O", "O", "O", "O", "O", "O", "O", "O", "O", "O", "O", "O", "O", "O", "O", "Si", "Si", "Si", "Si", "Sm", "Sm", "Sm", "Sm"],
  "fractional_positions": [[0.519, 0.793, 0.113], [0.481, 0.293, 0.387], [0.519, 0.707, 0.613], [0.481, 0.207, 0.887], [0.721, 0.048, 0.019], [0.114, 0.289, 0.082], [0.816, 0.445, 0.193], [0.530, 0.685, 0.214], [0.470, 0.185, 0.286], [0.184, 0.945, 0.307], [0.886, 0.789, 0.418], [0.279, 0.548, 0.481], [0.721, 0.452, 0.519], [0.114, 0.211, 0.582], [0.816, 0.055, 0.693], [0.530, 0.815, 0.714], [0.470, 0.315, 0.786], [0.184, 0.555, 0.807], [0.886, 0.711, 0.918], [0.279, 0.952, 0.981], [0.250, 0.097, 0.159], [0.750, 0.597, 0.341], [0.250, 0.403, 0.659], [0.750, 0.903, 0.841], [0.190, 0.639, 0.141], [0.810, 0.139, 0.359], [0.190, 0.861, 0.641], [0.810, 0.361, 0.859]]
}

{
  "formula": "PmAl6Cu6",
  "functional": "PBE-GGA",
  "state": "optimized geometry",
  "rho_g_cm3": 6.0,
  "e_tot_ev_per_cell": -54.1,
  "spacegroup": "Immm",
  "magmom_total_mub_per_cell": 0.00,
  "lattice": [[-2.530, 4.310, 4.374], [2.530, -4.310, 4.374], [2.530, 4.310, -4.374]],
  "species": ["Al", "Al", "Al", "Al", "Al", "Al", "Cu", "Cu", "Cu", "Cu", "Cu", "Cu", "Pm"],
  "fractional_positions": [[0.350, 0.350, 0.000], [0.650, 0.650, 0.000], [0.347, 0.000, 0.347], [0.795, 0.295, 0.500], [0.205, 0.705, 0.500], [0.653, 0.000, 0.653], [0.500, 0.000, 0.000], [0.000, 0.500, 0.000], [0.768, 0.500, 0.268], [0.000, 0.000, 0.500], [0.500, 0.500, 0.500], [0.232, 0.500, 0.732], [0.000, 0.000, 0.000]]
}

{
  "formula": "ScInCoSe3",
  "functional": "PBE-GGA",
  "state": "optimized geometry",
  "rho_g_cm3": 5.9,
  "e_tot_ev_per_cell": -124.3,
  "spacegroup": "Pnma",
  "magmom_total_mub_per_cell": 5.33,
  "de_polymorph_kcal_per_mol_atoms": 1.22,
  "lattice": [[-7.207, -7.431, -4.432], [2.154, -0.252, -3.080], [6.188, -9.022, 5.063]],
  "species": ["Co", "Co", "Co", "Co", "In", "In", "In", "In", "Sc", "Sc", "Sc", "Sc", "Se", "Se", "Se", "Se", "Se", "Se", "Se", "Se", "Se", "Se", "Se", "Se"],
  "fractional_positions": [[0.850, 0.500, 0.216], [0.350, 0.000, 0.284], [0.650, 0.500, 0.716], [0.150, 0.000, 0.784], [0.017, 0.000, 0.179], [0.517, 0.500, 0.321], [0.483, 0.000, 0.679], [0.983, 0.500, 0.821], [0.673, 0.000, 0.023], [0.173, 0.500, 0.477], [0.827, 0.000, 0.523], [0.327, 0.500, 0.977], [0.845, 0.500, 0.019], [0.439, 0.000, 0.104], [0.716, 0.000, 0.246], [0.216, 0.500, 0.254], [0.939, 0.500, 0.396], [0.345, 0.000, 0.481], [0.655, 0.500, 0.519], [0.061, 0.000, 0.604], [0.784, 0.000, 0.746], [0.284, 0.500, 0.754], [0.561, 0.500, 0.896], [0.155, 0.000, 0.981]]
}

{
  "formula": "NaTbMg",
  "functional": "PBE-GGA",
  "state": "optimized geometry",
  "rho_g_cm3": 3.4,
  "e_tot_ev_per_cell": -5.9,
  "spacegroup": "F-43m",
  "magmom_total_mub_per_cell": 0.13,
  "lattice": [[0.000, 3.697, 3.697], [3.697, 0.000, 3.697], [3.697, 3.697, 0.000]],
  "species": ["Mg", "Na", "Tb"],
  "fractional_positions": [[0.000, 0.000, 0.000], [0.250, 0.250, 0.250], [0.750, 0.750, 0.750]]
}

{
  "formula": "TlBi5Ir3",
  "functional": "PBE-GGA",
  "state": "optimized geometry",
  "rho_g_cm3": 12.7,
  "e_tot_ev_per_cell": -48.1,
  "spacegroup": "P6/mmm",
  "magmom_total_mub_per_cell": 0.02,
  "lattice": [[-4.603, 1.695, -3.072], [-0.323, -4.722, 3.331], [-2.514, 4.634, 6.326]],
  "species": ["Bi", "Bi", "Bi", "Bi", "Bi", "Ir", "Ir", "Ir", "Tl"],
  "fractional_positions": [[0.667, 0.333, 0.221], [0.333, 0.667, 0.221], [0.000, 0.000, 0.500], [0.667, 0.333, 0.779], [0.333, 0.667, 0.779], [0.500, 0.000, 0.500], [0.000, 0.500, 0.500], [0.500, 0.500, 0.500], [0.000, 0.000, 0.000]]
}

> Number 4 is which compound?

ScInCoSe3